Sr2MnTl: relaxed, GGA-PBE.

```
data_Sr2MnTl
_cell_length_a 7.8001
_cell_length_b 7.8001
_cell_length_c 7.8001
_cell_angle_alpha 90.00
_cell_angle_beta 90.00
_cell_angle_gamma 90.00
_symmetry_space_group_name_H-M 'F -4 3 m'
_symmetry_Int_Tables_number 216
_symmetry_space_group_name_Hall 'F -4 2 3'
loop_
_atom_site_label
_atom_site_type_symbol
_atom_site_fract_x
_atom_site_fract_y
_atom_site_fract_z
Sr1 Sr 0.0000 0.0000 0.0000
Sr2 Sr 0.2500 0.2500 0.2500
Mn1 Mn 0.2500 0.2500 0.7500
Tl1 Tl 0.0000 0.0000 0.5000
```

=====

Sr2MnTl: relaxed, GGA-PBE.

```
data_Sr2MnTl
_cell_length_a 4.8187
_cell_length_b 4.8513
_cell_length_c 11.9775
_cell_angle_alpha 90.00
_cell_angle_beta 90.00
_cell_angle_gamma 90.00
_symmetry_space_group_name_H-M 'A m m 2'
_symmetry_Int_Tables_number 38
_symmetry_space_group_name_Hall 'A 2 -2'
loop_
_atom_site_label
_atom_site_type_symbol
_atom_site_fract_x
_atom_site_fract_y
_atom_site_fract_z
Sr1 Sr 0.0000 0.0000 0.0000
Sr2 Sr 0.5000 0.0000 0.2898
Mn1 Mn 0.5000 0.0000 0.5914
Tl1 Tl 0.0000 0.0000 0.7069
```

=====

Sr2MnTl: relaxed, GGA-PBE.

```
data_Sr2MnTl
_cell_length_a 3.9505
_cell_length_b 5.6374
_cell_length_c 11.7244
_cell_angle_alpha 90.00
_cell_angle_beta 90.00
_cell_angle_gamma 90.00
_symmetry_space_group_name_H-M 'I m m 2'
_symmetry_Int_Tables_number 44
_symmetry_space_group_name_Hall 'I 2 -2'
loop_
_atom_site_label
_atom_site_type_symbol
_atom_site_fract_x
_atom_site_fract_y
_atom_site_fract_z
Sr1 Sr 0.0000 0.0000 0.0000
Sr2 Sr 0.0000 0.5000 0.2058
Mn1 Mn 0.0000 0.0000 0.4377
Tl1 Tl 0.0000 0.5000 0.7622
```

=====

Sr2MnTl: relaxed, GGA-PBE.

```
data_Sr2MnTl
_cell_length_a 3.8748
_cell_length_b 3.8748
_cell_length_c 9.0875
_cell_angle_alpha 90.00
_cell_angle_beta 90.00
_cell_angle_gamma 90.00
_symmetry_space_group_name_H-M 'P 4 m m'
_symmetry_Int_Tables_number 99
_symmetry_space_group_name_Hall 'P 4 -2'
loop_
_atom_site_label
_atom_site_type_symbol
_atom_site_fract_x
_atom_site_fract_y
_atom_site_fract_z
Sr1 Sr 0.0000 0.0000 0.0000
Sr2 Sr 0.5000 0.5000 0.3772
Mn1 Mn 0.5000 0.5000 0.7545
Tl1 Tl 0.0000 0.0000 0.6243
```

=====

Sr2UMn: relaxed, GGA-PBE.

```
data_Sr2UMn
_cell_length_a 8.2554
_cell_length_b 8.2554
_cell_length_c 8.2554
_cell_angle_alpha 90.00
_cell_angle_beta 90.00
_cell_angle_gamma 90.00
_symmetry_space_group_name_H-M 'F m -3 m'
_symmetry_Int_Tables_number 225
_symmetry_space_group_name_Hall '-F 4 2 3'
loop_
_atom_site_label
_atom_site_type_symbol
_atom_site_fract_x
_atom_site_fract_y
_atom_site_fract_z
Sr1 Sr 0.2500 0.2500 0.2500
U1 U 0.0000 0.0000 0.0000
Mn1 Mn 0.0000 0.0000 0.5000
```

=====

SrMn3V: relaxed, GGA-PBE.

```
data_SrMn3V
_cell_length_a 4.9462
_cell_length_b 4.9462
_cell_length_c 4.9462
_cell_angle_alpha 90.00
_cell_angle_beta 90.00
_cell_angle_gamma 90.00
_symmetry_space_group_name_H-M 'P m -3 m'
_symmetry_Int_Tables_number 221
_symmetry_space_group_name_Hall '-P 4 2 3'
loop_
_atom_site_label
_atom_site_type_symbol
_atom_site_fract_x
_atom_site_fract_y
_atom_site_fract_z
Sr1 Sr 0.0000 0.0000 0.0000
Mn1 Mn 0.0000 0.0000 0.5000
V1 V 0.5000 0.5000 0.5000
```

=====

SrMn3V: relaxed, GGA-PBE.

```
data_SrMn3V
_cell_length_a 4.7246
_cell_length_b 4.7246
_cell_length_c 4.7246
_cell_angle_alpha 90.00
_cell_angle_beta 90.00
_cell_angle_gamma 90.00
_symmetry_space_group_name_H-M 'P m -3 m'
_symmetry_Int_Tables_number 221
_symmetry_space_group_name_Hall '-P 4 2 3'
loop_
_atom_site_label
_atom_site_type_symbol
_atom_site_fract_x
_atom_site_fract_y
_atom_site_fract_z
Sr1 Sr 0.0000 0.0000 0.0000
Mn1 Mn 0.0000 0.5000 0.5000
V1 V 0.5000 0.5000 0.5000
```

=====

SrMn2W: relaxed, GGA-PBE.

```
data_SrMn2W
_cell_length_a 6.9381
_cell_length_b 3.9976
_cell_length_c 6.4947
_cell_angle_alpha 90.00
_cell_angle_beta 110.78
_cell_angle_gamma 90.00
_symmetry_space_group_name_H-M 'C 1 m 1'
_symmetry_Int_Tables_number 8
_symmetry_space_group_name_Hall 'C -2y'
loop_
_atom_site_label
_atom_site_type_symbol
_atom_site_fract_x
_atom_site_fract_y
_atom_site_fract_z
Sr1 Sr 0.0000 0.0000 0.0000
Mn1 Mn 0.3027 0.5000 0.4086
Mn2 Mn 0.4695 0.0000 0.4092
W1 W 0.1888 0.0000 0.5676
```

=====

SrMn2W: relaxed, GGA-PBE.

```
data_SrMn2W
_cell_length_a 4.2721
_cell_length_b 5.3415
_cell_length_c 7.1458
_cell_angle_alpha 90.00
_cell_angle_beta 90.00
_cell_angle_gamma 90.00
_symmetry_space_group_name_H-M 'I m m m'
_symmetry_Int_Tables_number 71
_symmetry_space_group_name_Hall '-I 2 2'
loop_
_atom_site_label
_atom_site_type_symbol
_atom_site_fract_x
_atom_site_fract_y
_atom_site_fract_z
Sr1 Sr 0.0000 0.0000 0.0000
Mn1 Mn 0.0000 0.5000 0.1965
W1 W 0.0000 0.0000 0.5000
```

=====

Sr2MnW: relaxed, GGA-PBE.

```
data_Sr2MnW
_cell_length_a 5.2707
_cell_length_b 5.2707
_cell_length_c 7.4292
_cell_angle_alpha 90.00
_cell_angle_beta 90.00
_cell_angle_gamma 90.00
_symmetry_space_group_name_H-M 'I -4 m 2'
_symmetry_Int_Tables_number 119
_symmetry_space_group_name_Hall 'I -4 -2'
loop_
_atom_site_label
_atom_site_type_symbol
_atom_site_fract_x
_atom_site_fract_y
_atom_site_fract_z
Sr1 Sr 0.0000 0.0000 0.0000
Sr2 Sr 0.0000 0.5000 0.2500
Mn1 Mn 0.0000 0.5000 0.7500
W1 W 0.0000 0.0000 0.5000
```

=====

Sr2MnW: relaxed, GGA-PBE.

```
data_Sr2MnW
_cell_length_a 3.2690
_cell_length_b 3.2690
_cell_length_c 32.7898
_cell_angle_alpha 90.00
_cell_angle_beta 90.00
_cell_angle_gamma 120.00
_symmetry_space_group_name_H-M 'R -3 m'
_symmetry_Int_Tables_number 166
_symmetry_space_group_name_Hall '-R 3 2"'
loop_
_atom_site_label
_atom_site_type_symbol
_atom_site_fract_x
_atom_site_fract_y
_atom_site_fract_z
Sr1 Sr 0.0000 0.0000 0.2475
Mn1 Mn 0.0000 0.0000 0.0000
W1 W 0.0000 0.0000 0.5000
```

=====

Sr2MnW: relaxed, GGA-PBE.

```
data_Sr2MnW
_cell_length_a 3.1271
_cell_length_b 5.0753
_cell_length_c 6.4398
_cell_angle_alpha 90.00
_cell_angle_beta 90.33
_cell_angle_gamma 90.00
_symmetry_space_group_name_H-M 'P 1 2/m 1'
_symmetry_Int_Tables_number 10
_symmetry_space_group_name_Hall '-P 2y'
loop_
_atom_site_label
_atom_site_type_symbol
_atom_site_fract_x
_atom_site_fract_y
_atom_site_fract_z
Sr1 Sr 0.0017 0.0000 0.2443
Mn1 Mn 0.5000 0.5000 0.5000
W1 W 0.5000 0.5000 0.0000
```

=====

One value per record, in order, for DFT formation energy: 0.25, 0.09, 0.13, 0.18, 1.23, 2.28, 0.66, 0.62, 0.92, 1.22, 1.33, 1.27 eV per atom.
One value per record, in order, for energy: -55.57, -29.06, -28.73, -14.17, -75.62, -26.91, -34.99, -60.99, -58.60, -41.25, -60.54, -20.40 eV for the cell shown.
One value per record, in order, for total magnetic moment: 1.0125, 0.9156, 0.9938, 0.9548, 1.9091, 2.9132, 1.6881, 0.0000, 1.1529, 0.1865, 0.9749, 0.8633 μB per atom.